Material: Ac4GaSeBr2
Method: DFT, PBE-GGA
State: optimized geometry

Output
spin magnetization = 0.00 μB/cell
total DFT energy (no corrections) = -4.51 eV per atom
N(E_F) = 5.288 states/eV/f.u.
E_form (uncorrected) = -1.225 eV/atom

Unit cell a=7.835 b=4.647 c=7.983 alpha=90.00 beta=110.21 gamma=90.00
Space group P2/m (No. 10)
Unique sites:
1 Ac 0.236 0.000 0.222
2 Ac 0.254 0.500 0.778
3 Ga 0.000 0.500 0.000
4 Se 0.500 0.000 0.000
5 Br 0.000 0.000 0.500
6 Br 0.500 0.500 0.500